# 1
MgHgPb3 | Alexandria | PBE | optimized geometry; density = 8.22 Mg/m³; symmetry = No. 221; E above lowest polymorph = 0.000 eV per atom
1.0
5.551 0.000 0.000
0.000 5.551 0.000
0.000 0.000 5.551
Mg Hg Pb
1 1 3
Direct
0.000 0.000 0.000 Mg
0.500 0.500 0.500 Hg
0.000 0.000 0.500 Pb
0.000 0.500 0.000 Pb
0.500 0.000 0.000 Pb

***

# 2
Li4CdPd4 | Alexandria | PBE | optimized geometry; energy = -3.6393 eV/atom; density = 6.90 Mg/m³; symmetry = No. 139
1.0
-4.115 4.115 2.009
4.115 -4.115 2.009
4.115 4.115 -2.009
Li Cd Pd
4 1 4
Direct
0.178 0.178 0.356 Li
0.178 0.822 0.000 Li
0.822 0.178 0.000 Li
0.822 0.822 0.644 Li
0.500 0.500 0.000 Cd
0.169 0.500 0.669 Pd
0.500 0.169 0.669 Pd
0.500 0.831 0.331 Pd
0.831 0.500 0.331 Pd

***

# 3
CdW2Cl | Alexandria | PBE | optimized geometry; uncorrected formation energy = 28.4 kcal/mol of atoms; density = 11.73 Mg/m³; symmetry = No. 65; E above lowest polymorph = 1.003 eV per atom
1.0
5.406 0.000 0.000
0.000 9.801 0.000
0.000 0.000 2.756
Cd W Cl
2 4 2
Direct
0.000 0.000 0.000 Cd
0.500 0.500 0.000 Cd
0.250 0.250 0.500 W
0.250 0.750 0.500 W
0.750 0.250 0.500 W
0.750 0.750 0.500 W
0.000 0.500 0.000 Cl
0.500 0.000 0.000 Cl

***

# 4
NaCu2SeCl | Alexandria | PBE | optimized geometry; uncorrected formation energy = -1.3 kcal/mol of atoms; density = 4.36 Mg/m³; symmetry = No. 123
1.0
4.465 0.000 0.000
0.000 4.465 0.000
0.000 0.000 5.054
Na Cu Se Cl
1 2 1 1
Direct
0.000 0.000 0.000 Na
0.000 0.500 0.500 Cu
0.500 0.000 0.500 Cu
0.500 0.500 0.000 Se
0.000 0.000 0.500 Cl

***

# 5
InPS | Alexandria | PBE | optimized geometry; uncorrected formation energy = -3.3 kcal/mol of atoms; density = 3.99 Mg/m³; symmetry = No. 1
1.0
4.345 0.000 0.000
1.566 5.966 0.000
2.150 2.603 5.714
In P S
2 2 2
Direct
0.000 0.000 0.000 In
0.263 0.265 0.367 In
0.583 0.574 0.665 P
0.651 0.229 0.615 P
0.153 0.539 0.956 S
0.379 0.825 0.368 S

***

# 6
GePdCl | Alexandria | PBE | optimized geometry; uncorrected formation energy = -8.4 kcal/mol of atoms; density = 4.96 Mg/m³; symmetry = No. 12
1.0
8.954 -2.328 0.000
8.954 2.328 0.000
-0.576 0.000 6.893
Ge Pd Cl
4 4 4
Direct
0.154 0.154 0.367 Ge
0.177 0.177 0.842 Ge
0.823 0.823 0.158 Ge
0.846 0.846 0.633 Ge
0.265 0.265 0.151 Pd
0.271 0.271 0.603 Pd
0.729 0.729 0.397 Pd
0.735 0.735 0.849 Pd
0.057 0.057 0.741 Cl
0.385 0.385 0.882 Cl
0.615 0.615 0.118 Cl
0.943 0.943 0.259 Cl

***

# 7
Hf8In3Sn | Alexandria | PBE | optimized geometry; energy = -7.3950 eV/atom; density = 10.55 Mg/m³; symmetry = No. 71
1.0
-3.075 4.887 4.952
3.075 -4.887 4.952
3.075 4.887 -4.952
Hf In Sn
8 3 1
Direct
0.072 0.250 0.822 Hf
0.252 0.246 0.498 Hf
0.252 0.754 0.005 Hf
0.429 0.250 0.178 Hf
0.571 0.750 0.822 Hf
0.748 0.246 0.995 Hf
0.748 0.754 0.502 Hf
0.928 0.750 0.178 Hf
0.281 0.781 0.500 In
0.500 0.500 0.000 In
0.719 0.219 0.500 In
0.000 0.000 0.000 Sn

***

# 8
BeVTe3 | Alexandria | PBE | optimized geometry; uncorrected formation energy = 13.9 kcal/mol of atoms; density = 6.00 Mg/m³; symmetry = No. 221; E above lowest polymorph = 0.000 eV per atom
1.0
4.966 0.000 0.000
0.000 4.966 0.000
0.000 0.000 4.966
Be V Te
1 1 3
Direct
0.000 0.000 0.000 Be
0.500 0.500 0.500 V
0.000 0.000 0.500 Te
0.000 0.500 0.000 Te
0.500 0.000 0.000 Te